A geometry-optimized PmSbAs2Rh5 structure, computed with PBE-GGA.

abc: 4.0885 4.0885 10.6836
angles: 90.00 90.00 90.00
With the nearest neighbours (Å) after each atom.
Space group P4/mmm (No. 123)
Unique sites:
Pm 0.0000 0.0000 0.0000 (multiplicity 1)  4 Rh 2.89
Sb 0.0000 0.0000 0.5000 (multiplicity 1)  8 Rh 2.65
As 0.5000 0.5000 0.2224 (multiplicity 2)  5 Rh 2.38-2.41
Rh 0.0000 0.5000 0.3426 (multiplicity 4)  2 As 2.41, 2 Sb 2.65
Rh 0.5000 0.5000 0.0000 (multiplicity 1)  2 As 2.38

Properties
formation energy from raw total energies	-12.7	kcal/mol of atoms

---

A geometry-optimized LiCa2Zn structure, computed with PBE-GGA.

abc: 3.8981 3.8981 28.8100
angles: 90.00 90.00 120.00
With the nearest neighbours (Å) after each atom.
Space group R-3m (No. 166, hexagonal axes)
Unique sites:
Li 0.0000 0.0000 0.0000 (multiplicity 3)  6 Ca 3.53, 6 Li 3.90
Ca 0.0000 0.0000 0.2388 (multiplicity 6)  3 Zn 3.06
Zn 0.0000 0.0000 0.5000 (multiplicity 3)  6 Ca 3.06

Properties
energy of formation from the pure elements	15.1	meV per atom

---

A geometry-optimized Sm2Dy3Y6In structure, computed with PBE-GGA.

abc: 6.1173 10.6029 11.7247
angles: 90.00 100.06 90.00
With the nearest neighbours (Å) after each atom.
Space group C2/m (No. 12)
Unique sites:
Sm 0.0000 0.1662 0.0000 (multiplicity 4)  3 Sm 3.52-3.54, 6 Y 3.53, 3 In 3.53-3.54
Dy 0.0000 0.0000 0.5000 (multiplicity 2)  6 Dy 3.53-3.54, 6 Y 3.54-3.56
Dy 0.0000 0.3335 0.5000 (multiplicity 4)  6 Dy 3.53-3.54, 6 Y 3.53-3.58
Y 0.2448 0.5000 0.7510 (multiplicity 4)  6 Y 3.47-3.57, 1 In 3.51, 2 Sm 3.53, 3 Dy 3.53-3.56
Y 0.2457 0.3364 0.2480 (multiplicity 8)  6 Y 3.47-3.57, 1 In 3.49, 2 Sm 3.53, 3 Dy 3.54-3.58
In 0.0000 0.5000 0.0000 (multiplicity 2)  6 Y 3.49-3.51, 6 Sm 3.53-3.54

Properties
energy of formation from the pure elements	-50.2	meV per atom

---

E_tot / eV per cell: -59.872 -21.392 -130.740